1.
## In2FeCl (PBE)

Data for a relaxed structure of In2FeCl.

Unit cell a=3.0972 b=3.0972 c=9.5250 alpha=90.00 beta=90.00 gamma=90.00
Each line ends with the local moment (μB).
Fractional coordinates of all 4 atoms:
In 0.5000 0.5000 0.2263  0.01
In 0.0000 0.0000 0.9471  -0.01
Cl 0.0000 0.0000 0.5922  0.13
Fe 0.5000 0.5000 0.7345  3.02

Computed properties:
- Energy above the lowest structure with this stoichiometry: 98 meV per atom
- ΔE_f (raw): 0.009 eV per atom
- Space-group type: P4mm, No. 99

2.
## ZnHgN2 (PBE)

Data for a relaxed structure of ZnHgN2.

Unit cell a=4.1222 b=4.1222 c=4.1222 alpha=60.00 beta=60.00 gamma=60.00
Each line ends with the local moment (μB).
Fractional coordinates of all 4 atoms:
Hg 0.5000 0.5000 0.5000  0.05
N 0.2500 0.2500 0.2500  0.75
N 0.7500 0.7500 0.7500  0.75
Zn 0.0000 0.0000 0.0000  -0.02

Computed properties:
- Energy above the lowest structure with this stoichiometry: 590 meV per atom
- ΔE_f (raw): 1.677 eV per atom
- Space-group type: Fm-3m, No. 225

3.
## La5TlHg6 (PBE)

Data for a relaxed structure of La5TlHg6.

Unit cell a=5.3990 b=7.9476 c=9.5782 alpha=114.51 beta=106.37 gamma=90.00
Fractional coordinates of all 12 atoms:
Hg 0.5000 0.7176 0.0000
Hg 0.1731 0.4401 0.3463
Hg 0.8269 0.0938 0.6537
Hg 0.1731 0.9062 0.3463
Hg 0.5000 0.2824 0.0000
Hg 0.8269 0.5599 0.6537
La 0.6804 0.6804 0.3609
La 0.3606 0.8606 0.7211
La 0.6394 0.1394 0.2789
La 0.3196 0.3196 0.6391
La 0.0000 0.5000 0.0000
Tl 0.0000 0.0000 0.0000

Computed properties:
- E_form: -0.461 eV/atom
- Space-group type: Immm, No. 71

4.
## La4DyCd (PBE)

Data for a relaxed structure of La4DyCd.

Unit cell a=3.7589 b=3.7589 c=14.3379 alpha=90.00 beta=90.00 gamma=90.00
Fractional coordinates of all 6 atoms:
La 0.0000 0.0000 0.6491
La 0.0000 0.0000 0.3509
La 0.5000 0.5000 0.8271
La 0.5000 0.5000 0.1729
Cd 0.5000 0.5000 0.5000
Dy 0.0000 0.0000 0.0000

Computed properties:
- Energy above the lowest structure with this stoichiometry: 0 meV per atom
- E_form: -0.098 eV/atom
- Space-group type: P4/mmm, No. 123

no.,E (eV/cell)
1,-15.749
2,-11.518
3,-34.352
4,-25.815